[1]
This record from the Alexandria database describes a relaxed structure of ScCd. The functional is PBE.

Properties
Formation enthalpy at 0 K: -0.183 eV per atom
Total magnetization: 0.7 μB/cell
Space group: Imma, No. 74

abc: 6.044 6.044 6.044
angles: 147.34 130.21 60.82
Sites, in units of the cell vectors:
Sc  0.367  0.117  0.250
Sc  0.633  0.883  0.750
Cd  0.114  0.364  0.750
Cd  0.886  0.636  0.250

***

[2]
This record from the Alexandria database describes a relaxed structure of FeTc2W. The functional is PBE.

Properties
Formation enthalpy at 0 K: 0.151 eV per atom
Total magnetization: 1.5 μB/cell
Space group: Pmm2, No. 25

abc: 2.737 3.826 5.431
angles: 90.00 90.00 90.00
Sites, in units of the cell vectors:
Fe  0.000  0.000  0.000
Tc  0.000  0.000  0.487
Tc  0.500  0.500  0.246
W  0.500  0.500  0.759

***

[3]
This record from the Alexandria database describes a relaxed structure of SrNbAsSe2. The functional is PBE.

Properties
Total magnetization: 0.1 μB/cell
Space group: P4/mmm, No. 123
ΔE_f (raw): 1.12 eV per atom

abc: 5.503 5.503 5.379
angles: 90.00 90.00 90.00
Sites, in units of the cell vectors:
Sr  0.000  0.000  0.000
Nb  0.500  0.500  0.500
As  0.000  0.000  0.500
Se  0.000  0.500  0.000
Se  0.500  0.000  0.000

***

[4]
This record from the Alexandria database describes a relaxed structure of Li3Al2Zn3Ga. The functional is PBE.

Properties
Formation enthalpy at 0 K: -0.152 eV per atom
Total magnetization: 0.0 μB/cell
Space group: P-62m, No. 189

abc: 7.493 7.493 2.852
angles: 90.00 90.00 120.00
Sites, in units of the cell vectors:
Li  0.000  0.295  0.000
Li  0.295  0.000  0.000
Li  0.705  0.705  0.000
Al  0.333  0.667  0.000
Al  0.667  0.333  0.000
Zn  0.000  0.640  0.500
Zn  0.360  0.360  0.500
Zn  0.640  0.000  0.500
Ga  0.000  0.000  0.500

***

[5]
This record from the Alexandria database describes a relaxed structure of Tb2Al2Rh5Pb. The functional is PBE.

Properties
Formation enthalpy at 0 K: -0.791 eV per atom
Total magnetization: 0.0 μB/cell
Space group: P4/mbm, No. 127

abc: 9.938 9.938 3.592
angles: 90.00 90.00 90.00
Sites, in units of the cell vectors:
Tb  0.176  0.324  0.000
Tb  0.324  0.824  0.000
Tb  0.676  0.176  0.000
Tb  0.824  0.676  0.000
Al  0.120  0.620  0.000
Al  0.380  0.120  0.000
Al  0.620  0.880  0.000
Al  0.880  0.380  0.000
Rh  0.000  0.500  0.500
Rh  0.070  0.786  0.500
Rh  0.214  0.070  0.500
Rh  0.286  0.570  0.500
Rh  0.430  0.286  0.500
Rh  0.500  0.000  0.500
Rh  0.570  0.714  0.500
Rh  0.714  0.430  0.500
Rh  0.786  0.930  0.500
Rh  0.930  0.214  0.500
Pb  0.000  0.000  0.000
Pb  0.500  0.500  0.000

***

[6]
This record from the Alexandria database describes a relaxed structure of ZrO2F5. The functional is PBE.

Properties
Total magnetization: 1.9 μB/cell
Space group: P2/m, No. 10
ΔE_f (raw): -2.28 eV per atom

abc: 5.863 7.318 5.866
angles: 90.00 107.91 90.00
Sites, in units of the cell vectors:
Zr  0.192  0.000  0.308
Zr  0.808  0.000  0.692
O  0.063  0.500  0.438
O  0.500  0.419  0.000
O  0.500  0.581  0.000
O  0.937  0.500  0.562
F  0.000  0.160  0.500
F  0.000  0.840  0.500
F  0.168  0.000  0.933
F  0.252  0.273  0.248
F  0.252  0.727  0.248
F  0.433  0.000  0.668
F  0.567  0.000  0.332
F  0.748  0.273  0.752
F  0.748  0.727  0.752
F  0.832  0.000  0.067

***

In Mg/m³, the mass density values for the records above are, in order, 5.80; 12.72; 4.21; 4.08; 10.24; 3.03.
In eV/atom, the uncorrected energy values for the records above are, in order, -3.81; -10.39; -3.55; -2.38; -6.51; -5.75.
In Å³ per atom, the calculated volume values for the records above are, in order, 22.54; 14.22; 32.57; 15.41; 17.74; 14.97.